Entry 1:
Entry from the Alexandria database: a geometry-optimized SmDy2Rh3 structure (PBE).

Calculated values
calculated volume: 20.52 Å³/atom
distance to the lowest polymorph of the same formula: 0.000 eV per formula unit
formation energy from the elements: -822 meV per atom

Cell lengths 4.8807, 4.8807, 5.9684 Å; angles 90.00, 90.00, 120.00 degrees
Space group P-3m1 (No. 164)
Inequivalent atoms, fractional coordinates:
Sm 0.0000 0.0000 0.0000
Dy 0.3333 0.6667 0.6649
Rh 0.0000 0.0000 0.5000
Rh 0.3333 0.6667 0.1722


Entry 2:
Entry from the Alexandria database: a geometry-optimized SmHoInCu structure (PBE).

Calculated values
calculated volume: 24.96 Å³/atom
formation energy from the elements: -292 meV per atom

Cell lengths 7.364, 7.364, 7.364 Å; angles 90.00, 90.00, 90.00 degrees
Space group F-43m (No. 216)
Inequivalent atoms, fractional coordinates:
Sm 0.000 0.000 0.000
Ho 0.000 0.000 0.500
In 0.250 0.250 0.750
Cu 0.250 0.250 0.250